No. 1
Here is an optimized crystal structure of TlCd10Au3 from the Alexandria database. Energies are from PBE.

Structure (extended XYZ):
```
28
Lattice="8.5905 0.0000 4.9597 2.8635 8.0992 4.9597 0.0000 0.0000 9.9195" Properties=species:S:1:pos:R:3 pbc="T T T"
Tl 2.8635 2.0248 4.9597
Tl 8.5905 6.0744 14.8792
Cd 0.0000 0.0000 3.3603
Cd 0.9700 2.7437 1.6801
Cd 2.9101 0.0000 1.6801
Cd 6.6504 2.7437 4.9597
Cd 4.3416 3.0699 7.5198
Cd 2.9561 5.0293 9.9195
Cd 5.7270 6.9886 9.9195
Cd 5.6804 0.0000 6.6399
Cd 4.3416 3.0699 12.3191
Cd 8.4979 3.0699 9.9195
Cd 7.1125 5.0293 7.5198
Cd 0.0000 0.0000 6.5592
Cd 4.8036 5.3555 4.9597
Cd 1.8935 5.3555 6.6399
Cd 0.9700 2.7437 8.2393
Cd 5.6804 0.0000 3.2796
Cd 7.1125 5.0293 12.3191
Cd 1.8935 5.3555 3.2796
Cd 5.7270 1.1106 9.9194
Cd 2.9101 0.0000 8.2393
Au 8.3445 5.9004 9.9195
Au 7.0357 2.1988 12.1862
Au 4.4183 5.9004 12.1862
Au 3.1096 2.1988 9.9195
Au 7.0357 2.1988 7.6527
Au 4.4183 5.9004 7.6527
```

Calculated values
- electronic total energy (eV/atom) = -1.5812
- calculated volume (Å³ per cell) = 690.2

No. 2
Here is an optimized crystal structure of UTlCdAu from the Alexandria database. Energies are from PBE.

Structure (extended XYZ):
```
4
Lattice="-0.4358 4.3142 2.6985 -4.2106 2.8600 -0.4192 -3.3074 0.2602 3.8831" Properties=species:S:1:pos:R:3 pbc="T T T"
Au -3.9769 3.7172 3.0812
Tl 0.0000 0.0000 0.0000
U -5.9653 5.5758 4.6218
Cd -1.9884 1.8586 1.5406
```

Calculated values
- electronic total energy (eV/atom) = -4.3749
- calculated volume (Å³ per cell) = 94.2

No. 3
Here is an optimized crystal structure of YTlCdAu from the Alexandria database. Energies are from PBE.

Structure (extended XYZ):
```
4
Lattice="-4.9847 -0.6895 -0.7028 -1.6399 -3.2984 -3.4996 -2.1906 -4.3524 1.4402" Properties=species:S:1:pos:R:3 pbc="T T T"
Y -6.6113 -6.2552 -2.0717
Tl 0.0000 0.0000 0.0000
Au -4.4075 -4.1702 -1.3811
Cd -2.2038 -2.0851 -0.6906
```

Calculated values
- electronic total energy (eV/atom) = -3.6550
- calculated volume (Å³ per cell) = 92.8

No. 4
Here is an optimized crystal structure of TlZnCd2Au from the Alexandria database. Energies are from PBE.

Structure (extended XYZ):
```
5
Lattice="-1.0987 -1.6192 4.9537 5.0658 0.8573 1.4038 -1.1382 4.6503 1.2675" Properties=species:S:1:pos:R:3 pbc="T T T"
Tl 1.4144 1.9442 3.8125
Au 0.0000 0.0000 0.0000
Zn -0.5691 2.3252 0.6338
Cd 2.5329 0.4286 0.7019
Cd -0.5494 -0.8096 2.4768
```

Calculated values
- electronic total energy (eV/atom) = -1.7053
- calculated volume (Å³ per cell) = 140.5

No. 5
Here is an optimized crystal structure of TlZn2CdAu from the Alexandria database. Energies are from PBE.

Structure (extended XYZ):
```
5
Lattice="-2.3429 2.1302 3.8272 -4.1848 0.1930 -2.6692 -1.3858 -4.8037 1.8254" Properties=species:S:1:pos:R:3 pbc="T T T"
Tl -3.9567 -1.2403 1.4917
Au 0.0000 0.0000 0.0000
Zn -2.0924 0.0965 -1.3346
Zn -1.1714 1.0651 1.9136
Cd -0.6929 -2.4018 0.9127
```

Calculated values
- electronic total energy (eV/atom) = -1.7616
- calculated volume (Å³ per cell) = 131.3

No. 6
Here is an optimized crystal structure of Zr2TlCdAu from the Alexandria database. Energies are from PBE.

Structure (extended XYZ):
```
5
Lattice="5.2969 0.0000 0.0000 0.0000 5.1009 0.0000 0.0000 0.0000 5.2969" Properties=species:S:1:pos:R:3 pbc="T T T"
Tl 0.0000 2.5504 0.0000
Au 2.6484 2.5504 2.6484
Zr 0.0000 0.0000 2.6484
Zr 2.6484 0.0000 0.0000
Cd 0.0000 0.0000 0.0000
```

Calculated values
- electronic total energy (eV/atom) = -3.6634
- calculated volume (Å³ per cell) = 143.1

No. 7
Here is an optimized crystal structure of TmCd2Au6 from the Alexandria database. Energies are from PBE.

Structure (extended XYZ):
```
18
Lattice="5.0984 0.1806 0.5713 0.7296 8.1927 2.3405 0.3304 -0.1624 8.5437" Properties=species:S:1:pos:R:3 pbc="T T T"
Tm 1.6586 1.0031 7.8547
Tm 4.4999 7.2078 3.6007
Cd 2.7700 4.3439 8.3044
Cd 0.7354 1.6018 4.4802
Cd 3.3885 3.8670 3.1511
Cd 5.4232 6.6090 6.9753
Au 3.0231 5.5523 5.5544
Au 0.6830 4.5932 4.1120
Au 3.1355 2.6586 5.9011
Au 5.4755 3.6176 7.3434
Au 3.4403 0.8638 3.6150
Au 5.1656 5.3056 9.7088
Au 2.7182 7.3471 7.8404
Au 0.9929 2.9052 1.7467
Au 2.1133 6.4080 2.0105
Au 1.8045 8.1706 4.3646
Au 4.0452 1.8029 9.4450
Au 4.3540 0.0403 7.0909
```

Calculated values
- electronic total energy (eV/atom) = -3.2398
- calculated volume (Å³ per cell) = 356.2

No. 8
Here is an optimized crystal structure of TmCdAu3 from the Alexandria database. Energies are from PBE.

Structure (extended XYZ):
```
10
Lattice="5.4338 0.0000 0.0000 0.0000 6.8854 -0.0010 0.0000 -3.4417 5.9635" Properties=species:S:1:pos:R:3 pbc="T T T"
Tm 1.3585 0.0028 3.9740
Tm 4.0754 3.4408 1.9884
Cd 0.0000 0.0000 0.0000
Cd 2.7169 0.0000 0.0000
Au 1.3585 4.8121 1.1964
Au 4.0754 -1.3685 4.7660
Au 1.3585 3.4423 3.5691
Au 4.0754 0.0013 2.3933
Au 1.3585 2.0724 1.1971
Au 4.0754 1.3712 4.7653
```

Calculated values
- electronic total energy (eV/atom) = -3.3886
- calculated volume (Å³ per cell) = 223.1